DFT (PBE) results for a relaxed structure of GaTc2Ge2.

formation enthalpy at 0 K: -0.090 eV per atom
volume: 156 Å³/cell
energy above the lowest structure with this stoichiometry: 10 meV per atom

Cell: 6.9406 6.9406 3.2298 Å, 90.00 90.00 90.00°
Atoms (fractional coordinates):
Ge 0.1464 0.6464 0.5000
Ge 0.6464 0.8536 0.5000
Ge 0.8536 0.3536 0.5000
Ge 0.3536 0.1464 0.5000
Tc 0.3491 0.8491 0.0000
Tc 0.8491 0.6509 0.0000
Tc 0.6509 0.1509 0.0000
Tc 0.1509 0.3491 0.0000
Ga 0.0000 0.0000 0.0000
Ga 0.5000 0.5000 0.0000